1.
This record from Alexandria via LeMat-Bulk describes an optimized crystal structure of CeAlSi2Ir5. The functional is PBE.

Lattice parameters (Å, degrees): 4.0477 4.0477 10.0725 90.00 90.00 90.00
Fractional coordinates of all 9 atoms:
Ce: 0.0000 0.0000 0.0000
Al: 0.0000 0.0000 0.5000
Si: 0.5000 0.5000 0.2327
Si: 0.5000 0.5000 0.7673
Ir: 0.0000 0.5000 0.3497
Ir: 0.0000 0.5000 0.6503
Ir: 0.5000 0.0000 0.3497
Ir: 0.5000 0.0000 0.6503
Ir: 0.5000 0.5000 0.0000

Values from the calculation:
calculated volume	165	Å³ per cell
Fermi-level density of states	9.657	states/eV/cell
space group	P4/mmm
uncorrected energy	-7.7296	eV/atom
raw formation energy	-50.8	kJ per mole of atoms

=====

2.
This record from Alexandria via LeMat-Bulk describes an optimized crystal structure of CeAl2SiIr4. The functional is PBE.

Lattice parameters (Å, degrees): 8.7260 8.7260 8.7260 28.16 28.16 28.16
Fractional coordinates of all 8 atoms:
Ce: 0.0000 0.0000 0.0000
Al: 0.2422 0.2422 0.2422
Al: 0.7578 0.7578 0.7578
Si: 0.5000 0.5000 0.5000
Ir: 0.1359 0.1359 0.1359
Ir: 0.4041 0.4041 0.4041
Ir: 0.5959 0.5959 0.5959
Ir: 0.8641 0.8641 0.8641

Values from the calculation:
calculated volume	131	Å³ per cell
Fermi-level density of states	6.983	states/eV/cell
space group	R-3m
uncorrected energy	-7.5494	eV/atom
raw formation energy	-73.7	kJ per mole of atoms

=====

3.
This record from Alexandria via LeMat-Bulk describes an optimized crystal structure of Ce2AlSi4Ir3. The functional is PBE.

Lattice parameters (Å, degrees): 4.1270 4.1270 10.2301 90.00 90.00 90.00
Fractional coordinates of all 10 atoms:
Ce: 0.0000 0.5000 0.2435
Ce: 0.5000 0.0000 0.7565
Al: 0.0000 0.0000 0.5000
Si: 0.0000 0.0000 0.0000
Si: 0.0000 0.5000 0.6421
Si: 0.5000 0.0000 0.3579
Si: 0.5000 0.5000 0.0000
Ir: 0.0000 0.5000 0.8758
Ir: 0.5000 0.0000 0.1242
Ir: 0.5000 0.5000 0.5000

Values from the calculation:
calculated volume	174	Å³ per cell
Fermi-level density of states	5.948	states/eV/cell
space group	P-4m2
uncorrected energy	-7.3214	eV/atom
raw formation energy	-90.0	kJ per mole of atoms

=====

4.
This record from Alexandria via LeMat-Bulk describes an optimized crystal structure of CeTi2AlIr4. The functional is PBE.

Lattice parameters (Å, degrees): 8.7333 8.7333 8.7333 28.72 28.72 28.72
Fractional coordinates of all 8 atoms:
Ce: 0.0000 0.0000 0.0000
Ti: 0.2391 0.2391 0.2391
Ti: 0.7609 0.7609 0.7609
Al: 0.5000 0.5000 0.5000
Ir: 0.1325 0.1325 0.1325
Ir: 0.3995 0.3995 0.3995
Ir: 0.6005 0.6005 0.6005
Ir: 0.8675 0.8675 0.8675

Values from the calculation:
calculated volume	136	Å³ per cell
Fermi-level density of states	6.755	states/eV/cell
space group	R-3m
uncorrected energy	-8.4145	eV/atom
formation enthalpy at 0 K	-0.8007	eV/atom

=====

5.
This record from Alexandria via LeMat-Bulk describes an optimized crystal structure of CeTiAlIr2. The functional is PBE.

Lattice parameters (Å, degrees): 6.4659 6.4659 6.4659 143.46 143.46 52.63
Fractional coordinates of all 5 atoms:
Ce: 0.0000 0.0000 0.0000
Ti: 0.2500 0.7500 0.5000
Al: 0.7500 0.2500 0.5000
Ir: 0.3848 0.3848 0.0000
Ir: 0.6152 0.6152 0.0000

Values from the calculation:
calculated volume	95	Å³ per cell
Fermi-level density of states	8.167	states/eV/cell
space group	I-4m2
uncorrected energy	-7.8861	eV/atom
formation enthalpy at 0 K	-0.8274	eV/atom

=====

6.
This record from Alexandria via LeMat-Bulk describes an optimized crystal structure of Ce2TiAl2Ir5. The functional is PBE.

Lattice parameters (Å, degrees): 9.7630 9.7630 3.6581 90.00 90.00 90.00
Fractional coordinates of all 20 atoms:
Ce: 0.1757 0.3243 0.0000
Ce: 0.3243 0.8243 0.0000
Ce: 0.6757 0.1757 0.0000
Ce: 0.8243 0.6757 0.0000
Ti: 0.0000 0.0000 0.0000
Ti: 0.5000 0.5000 0.0000
Al: 0.1227 0.6227 0.0000
Al: 0.3773 0.1227 0.0000
Al: 0.6227 0.8773 0.0000
Al: 0.8773 0.3773 0.0000
Ir: 0.0000 0.5000 0.5000
Ir: 0.0673 0.7939 0.5000
Ir: 0.2061 0.0673 0.5000
Ir: 0.2939 0.5673 0.5000
Ir: 0.4327 0.2939 0.5000
Ir: 0.5000 0.0000 0.5000
Ir: 0.5673 0.7061 0.5000
Ir: 0.7061 0.4327 0.5000
Ir: 0.7939 0.9327 0.5000
Ir: 0.9327 0.2061 0.5000

Values from the calculation:
calculated volume	349	Å³ per cell
Fermi-level density of states	12.662	states/eV/cell
space group	P4/mbm
uncorrected energy	-7.8752	eV/atom
formation enthalpy at 0 K	-0.7199	eV/atom

=====

- The highest uncorrected energy belongs to which entry?
  Ce2AlSi4Ir3